No. 1
Compound: Cs2PmSnCl6
Source: Alexandria
Functional: PBE-GGA
Structure: relaxed

Properties
* crystal system: orthorhombic
* E_form (uncorrected): -1.736 eV per atom
* space-group type: No. 59
* M_tot: 2.00 μB per cell

Cell lengths 7.5976, 9.1796, 11.0145 Å; angles 90.00, 90.00, 90.00 degrees
Last column: nearest neighbours and their distance in Å.
Element x y z (fractional)
Cl: 0.0000 0.7885 0.7518  1 Pm 2.74, 1 Sn 2.84
Cl: 0.5000 0.2115 0.7482  1 Pm 2.74, 1 Sn 2.84
Cl: 0.7514 0.9856 0.0000  1 Pm 2.74
Cl: 0.2625 0.5733 0.0000  1 Pm 2.69
Cl: 0.7375 0.5733 0.0000  1 Pm 2.69
Cl: 0.0000 0.7885 0.2482  1 Pm 2.74, 1 Sn 2.84
Cl: 0.7486 0.0144 0.5000  1 Pm 2.74
Cl: 0.7625 0.4267 0.5000  1 Pm 2.69
Cl: 0.2375 0.4267 0.5000  1 Pm 2.69
Cl: 0.2514 0.0144 0.5000  1 Pm 2.74
Cl: 0.2486 0.9856 0.0000  1 Pm 2.74
Cl: 0.5000 0.2115 0.2518  1 Pm 2.74, 1 Sn 2.84
Sn: 0.5000 0.2782 0.0000  2 Cl 2.84
Sn: 0.0000 0.7218 0.5000  2 Cl 2.84
Cs: 0.0000 0.2036 0.7452  9 Cl 3.74-3.93
Cs: 0.5000 0.7964 0.7548  9 Cl 3.74-3.93
Cs: 0.5000 0.7964 0.2452  9 Cl 3.74-3.93
Cs: 0.0000 0.2036 0.2548  9 Cl 3.74-3.93
Pm: 0.0000 0.7693 0.0000  6 Cl 2.69-2.74
Pm: 0.5000 0.2307 0.5000  6 Cl 2.69-2.74

No. 2
Compound: Cs2SrPmCl6
Source: Alexandria
Functional: PBE-GGA
Structure: relaxed

Properties
* crystal system: orthorhombic
* E_form (uncorrected): -2.087 eV per atom
* space-group type: No. 59
* M_tot: 1.91 μB per cell

Cell lengths 7.9679, 8.0040, 11.2957 Å; angles 90.00, 90.00, 90.00 degrees
Last column: nearest neighbours and their distance in Å.
Element x y z (fractional)
Cs: 0.5000 0.7505 0.2497  12 Cl 3.98-4.01
Cs: 0.0000 0.2495 0.7497  12 Cl 3.98-4.01
Cs: 0.0000 0.2495 0.2503  12 Cl 3.98-4.01
Cs: 0.5000 0.7505 0.7503  12 Cl 3.98-4.01
Cl: 0.2466 0.5049 0.0000  1 Pm 2.78, 1 Sr 2.87
Cl: 0.7534 0.5049 0.0000  1 Pm 2.78, 1 Sr 2.87
Cl: 0.7460 0.0029 0.5000  1 Pm 2.78, 1 Sr 2.87
Cl: 0.5000 0.2498 0.7462  1 Pm 2.78, 1 Sr 2.87
Cl: 0.2534 0.4951 0.5000  1 Pm 2.78, 1 Sr 2.87
Cl: 0.0000 0.7502 0.2462  1 Pm 2.78, 1 Sr 2.87
Cl: 0.5000 0.2498 0.2538  1 Pm 2.78, 1 Sr 2.87
Cl: 0.7540 0.9971 0.0000  1 Pm 2.78, 1 Sr 2.87
Cl: 0.7466 0.4951 0.5000  1 Pm 2.78, 1 Sr 2.87
Cl: 0.2540 0.0029 0.5000  1 Pm 2.78, 1 Sr 2.87
Cl: 0.0000 0.7502 0.7538  1 Pm 2.78, 1 Sr 2.87
Cl: 0.2460 0.9971 0.0000  1 Pm 2.78, 1 Sr 2.87
Pm: 0.0000 0.7507 0.0000  6 Cl 2.78
Pm: 0.5000 0.2493 0.5000  6 Cl 2.78
Sr: 0.5000 0.2508 0.0000  6 Cl 2.87
Sr: 0.0000 0.7492 0.5000  6 Cl 2.87

No. 3
Compound: CsSr2PmCl8
Source: Alexandria
Functional: PBE-GGA
Structure: relaxed

Properties
* crystal system: monoclinic
* E_form (uncorrected): -2.301 eV per atom
* space-group type: No. 10
* M_tot: 0.00 μB per cell

Cell lengths 6.8833, 6.7204, 9.3361 Å; angles 89.98, 89.98, 89.61 degrees
Last column: nearest neighbours and their distance in Å.
Element x y z (fractional)
Cl: 0.6061 0.7268 0.4999  2 Sr 2.88
Cl: 0.8323 0.2346 0.7971  1 Pm 2.72, 1 Sr 2.93
Cl: 0.1682 0.7659 0.7971  1 Pm 2.72, 1 Sr 2.92
Cl: 0.8318 0.2341 0.2029  1 Pm 2.72, 1 Sr 2.92
Cl: 0.1677 0.7654 0.2029  1 Pm 2.72, 1 Sr 2.93
Cl: 0.3939 0.2732 0.5001  2 Sr 2.88
Cl: 0.6831 0.7371 0.9999  1 Pm 2.82, 2 Sr 3.10
Cl: 0.3169 0.2629 0.0001  1 Pm 2.82, 2 Sr 3.10
Sr: 0.5000 0.5000 0.7495  6 Cl 2.88-3.10
Sr: 0.5000 0.5000 0.2505  6 Cl 2.88-3.10
Cs: 0.0000 0.0000 0.5000  6 Cl 3.29-3.39
Pm: 0.0000 0.0000 0.0000  6 Cl 2.72-2.82

No. 4
Compound: CsPmTeCl2
Source: Alexandria
Functional: PBE-GGA
Structure: relaxed

Properties
* crystal system: orthorhombic
* E_form (uncorrected): -1.874 eV per atom
* space-group type: No. 63
* M_tot: 0.00 μB per cell

Cell lengths 4.5636, 9.6562, 8.9980 Å; angles 90.00, 90.00, 103.67 degrees
Last column: nearest neighbours and their distance in Å.
Element x y z (fractional)
Pm: 0.0000 0.0000 0.5000  2 Cl 2.70
Pm: 0.0000 0.0000 0.0000  2 Cl 2.70
Te: 0.5013 0.0026 0.2500  4 Pm 3.20
Te: 0.4987 0.9974 0.7500  4 Pm 3.20
Cl: 0.8560 0.7120 0.4973  1 Pm 2.70
Cl: 0.1440 0.2880 0.5027  1 Pm 2.70
Cl: 0.1440 0.2880 0.9973  1 Pm 2.70
Cl: 0.8560 0.7120 0.0027  1 Pm 2.70
Cs: 0.2850 0.5701 0.2500  6 Cl 3.45-3.49
Cs: 0.7150 0.4299 0.7500  6 Cl 3.45-3.49

No. 5
Compound: Cs2PmTlCl6
Source: Alexandria
Functional: PBE-GGA
Structure: relaxed

Properties
* crystal system: monoclinic
* E_form (uncorrected): -1.968 eV per atom
* space-group type: No. 14
* M_tot: 0.00 μB per cell

Cell lengths 8.0080, 8.3165, 11.4662 Å; angles 90.00, 89.85, 90.00 degrees
Last column: nearest neighbours and their distance in Å.
Element x y z (fractional)
Tl: 0.5000 0.0000 0.0000  6 Cl 3.19-3.23
Tl: 0.0000 0.5000 0.5000  6 Cl 3.19-3.23
Cl: 0.2754 0.6851 0.0419  1 Pm 2.73
Cl: 0.5864 0.0276 0.2704  1 Pm 2.73
Cl: 0.7246 0.3149 0.9581  1 Pm 2.73
Cl: 0.3189 0.7287 0.4519  1 Pm 2.74
Cl: 0.8189 0.7713 0.9519  1 Pm 2.74
Cl: 0.9136 0.5276 0.2296  1 Pm 2.73
Cl: 0.2246 0.1851 0.4581  1 Pm 2.73
Cl: 0.7754 0.8149 0.5419  1 Pm 2.73
Cl: 0.4136 0.9724 0.7296  1 Pm 2.73
Cl: 0.0864 0.4724 0.7704  1 Pm 2.73
Cl: 0.1811 0.2287 0.0481  1 Pm 2.74
Cl: 0.6811 0.2713 0.5481  1 Pm 2.74
Pm: 0.0000 0.5000 0.0000  6 Cl 2.73-2.74
Pm: 0.5000 0.0000 0.5000  6 Cl 2.73-2.74
Cs: 0.9837 0.0573 0.7497  6 Cl 3.52-3.82
Cs: 0.5163 0.5573 0.7503  6 Cl 3.52-3.82
Cs: 0.4837 0.4427 0.2497  6 Cl 3.52-3.82
Cs: 0.0163 0.9427 0.2503  6 Cl 3.52-3.82

No. 6
Compound: CsPmTl2Cl6
Source: Alexandria
Functional: PBE-GGA
Structure: relaxed

Properties
* crystal system: trigonal
* E_form (uncorrected): -1.746 eV per atom
* space-group type: No. 146
* M_tot: 0.00 μB per cell

Cell lengths 8.0368, 8.0361, 8.3548 Å; angles 61.25, 61.25, 59.99 degrees
Last column: nearest neighbours and their distance in Å.
Element x y z (fractional)
Cl: 0.1555 0.3886 0.7756  1 Pm 2.76
Cl: 0.6804 0.1554 0.7756  1 Pm 2.76
Cl: 0.5584 0.2270 0.2348  1 Pm 2.73
Cl: 0.3885 0.6804 0.7756  1 Pm 2.76
Cl: 0.2270 0.9797 0.2348  1 Pm 2.73
Cl: 0.9797 0.5584 0.2349  1 Pm 2.73
Pm: 0.3227 0.3226 0.0320  6 Cl 2.73-2.76
Cs: 0.8081 0.8081 0.5755  6 Cl 3.41-3.60
Tl: 0.0150 0.0150 0.9552  6 Cl 3.16-3.34
Tl: 0.5263 0.5263 0.4212  6 Cl 3.24-3.30

No. 7
Compound: Cs3PmTl2Cl9
Source: Alexandria
Functional: PBE-GGA
Structure: relaxed

Properties
* crystal system: trigonal
* E_form (uncorrected): -1.705 eV per atom
* space-group type: No. 164
* M_tot: 0.00 μB per cell

Cell lengths 8.1097, 8.1097, 9.9391 Å; angles 90.00, 90.00, 120.00 degrees
Last column: nearest neighbours and their distance in Å.
Element x y z (fractional)
Cl: 0.5000 0.0000 0.0000  2 Tl 2.82
Cl: 0.5000 0.5000 0.0000  2 Tl 2.82
Cl: 0.6831 0.8415 0.3438  1 Pm 2.71
Cl: 0.3169 0.1585 0.6562  1 Pm 2.71
Cl: 0.1585 0.8415 0.3438  1 Pm 2.71
Cl: 0.1585 0.3169 0.3438  1 Pm 2.71
Cl: 0.8415 0.6831 0.6562  1 Pm 2.71
Cl: 0.8415 0.1585 0.6562  1 Pm 2.71
Cl: 0.0000 0.5000 0.0000  2 Tl 2.82
Tl: 0.3333 0.6667 0.1578  6 Cl 2.82-3.07
Tl: 0.6667 0.3333 0.8422  6 Cl 2.82-3.07
Pm: 0.0000 0.0000 0.5000  6 Cl 2.71
Cs: 0.6667 0.3333 0.3205  12 Cl 3.95-4.14
Cs: 0.0000 0.0000 0.0000  12 Cl 4.05-4.08
Cs: 0.3333 0.6667 0.6795  12 Cl 3.95-4.14

No. 8
Compound: CsPmZnCl6
Source: Alexandria
Functional: PBE-GGA
Structure: relaxed

Properties
* crystal system: trigonal
* E_form (uncorrected): -1.834 eV per atom
* space-group type: No. 149
* M_tot: 0.00 μB per cell

Cell lengths 6.8875, 6.8875, 7.7294 Å; angles 90.00, 90.00, 59.98 degrees
Last column: nearest neighbours and their distance in Å.
Element x y z (fractional)
Cl: 0.9757 0.6323 0.6935  1 Zn 2.51, 1 Pm 2.73
Cl: 0.9756 0.3919 0.3068  1 Zn 2.51, 1 Pm 2.73
Cl: 0.3920 0.6322 0.3065  1 Zn 2.51, 1 Pm 2.73
Cl: 0.6322 0.3921 0.6935  1 Zn 2.51, 1 Pm 2.73
Cl: 0.6323 0.9757 0.3065  1 Zn 2.51, 1 Pm 2.73
Cl: 0.3919 0.9757 0.6932  1 Zn 2.51, 1 Pm 2.73
Cs: 0.0000 0.0001 0.0000  6 Cl 3.53
Zn: 0.6666 0.6667 0.5000  6 Cl 2.51
Pm: 0.3334 0.3334 0.5000  6 Cl 2.73

Repeat the third record exactly.
Compound: CsSr2PmCl8
Source: Alexandria
Functional: PBE-GGA
Structure: relaxed

Properties
* crystal system: monoclinic
* E_form (uncorrected): -2.301 eV per atom
* space-group type: No. 10
* M_tot: 0.00 μB per cell

Cell lengths 6.8833, 6.7204, 9.3361 Å; angles 89.98, 89.98, 89.61 degrees
Last column: nearest neighbours and their distance in Å.
Element x y z (fractional)
Cl: 0.6061 0.7268 0.4999  2 Sr 2.88
Cl: 0.8323 0.2346 0.7971  1 Pm 2.72, 1 Sr 2.93
Cl: 0.1682 0.7659 0.7971  1 Pm 2.72, 1 Sr 2.92
Cl: 0.8318 0.2341 0.2029  1 Pm 2.72, 1 Sr 2.92
Cl: 0.1677 0.7654 0.2029  1 Pm 2.72, 1 Sr 2.93
Cl: 0.3939 0.2732 0.5001  2 Sr 2.88
Cl: 0.6831 0.7371 0.9999  1 Pm 2.82, 2 Sr 3.10
Cl: 0.3169 0.2629 0.0001  1 Pm 2.82, 2 Sr 3.10
Sr: 0.5000 0.5000 0.7495  6 Cl 2.88-3.10
Sr: 0.5000 0.5000 0.2505  6 Cl 2.88-3.10
Cs: 0.0000 0.0000 0.5000  6 Cl 3.29-3.39
Pm: 0.0000 0.0000 0.0000  6 Cl 2.72-2.82